[1]
A relaxed HfMoNO2 crystal, computed with PBE+U.

Lattice parameters (Å, degrees): 4.0169 4.0169 4.3420 90.00 90.00 90.00
Last column: magnetic moment on the atom in μB.
Fractional coordinates of all 5 atoms:
Mo (0.5000, 0.5000, 0.5000)  3.51
Hf (0.0000, 0.0000, 0.0000)  0.00
O (0.0000, 0.5000, 0.0000)  -0.07
O (0.5000, 0.0000, 0.0000)  -0.07
N (0.0000, 0.0000, 0.5000)  -0.49

## Properties
Crystal system: tetragonal
Calculated total energy, eV for the cell shown: -40.95

---

[2]
A relaxed HfMoNO2 crystal, computed with PBE+U.

Lattice parameters (Å, degrees): 3.9527 3.9527 4.0615 90.00 90.00 90.00
Last column: magnetic moment on the atom in μB.
Fractional coordinates of all 5 atoms:
Mo (0.0000, 0.0000, 0.0000)  1.93
Hf (0.5000, 0.5000, 0.5000)  0.43
O (0.0000, 0.5000, 0.0000)  0.03
O (0.5000, 0.0000, 0.0000)  0.03
N (0.0000, 0.0000, 0.5000)  -0.09

## Properties
Crystal system: tetragonal
Calculated total energy, eV for the cell shown: -38.69